[1]
Compound: NaScBe2
Source: Alexandria via LeMat-Bulk
Functional: GGA-PBE
Structure: relaxed

Output
The calculation puts the formation energy at 0.862 eV per atom. Its polymorph energy (0 for the lowest one) is 1.29 eV per formula unit. The calculation puts the size of the total moment at 0.0 Bohr magnetons per cell.

Cell and atoms, written as CIF:
```
data_NaScBe2
_cell_length_a 7.261
_cell_length_b 7.261
_cell_length_c 5.782
_cell_angle_alpha 51.10
_cell_angle_beta 51.10
_cell_angle_gamma 90.00
_space_group_name_H-M_alt 'P 1'
_space_group_IT_number 1
loop_
_space_group_symop_operation_xyz
'x,y,z'
loop_
_atom_site_label
_atom_site_type_symbol
_atom_site_fract_x
_atom_site_fract_y
_atom_site_fract_z
Be1 Be 0.125 0.625 0.250
Be2 Be 0.375 0.375 0.750
Be3 Be 0.875 0.875 0.750
Be4 Be 0.625 0.125 0.250
Na1 Na 0.500 0.500 0.000
Na2 Na 0.250 0.750 0.500
Sc1 Sc 0.000 0.000 0.000
Sc2 Sc 0.750 0.250 0.500
```



[2]
Compound: Ti5CdBi2
Source: Alexandria via LeMat-Bulk
Functional: GGA-PBE
Structure: relaxed

Output
The calculation puts the formation energy at 0.003 eV per atom. The calculation puts the size of the total moment at 0.0 Bohr magnetons per cell.

Cell and atoms, written as CIF:
```
data_Ti5CdBi2
_cell_length_a 3.838
_cell_length_b 5.241
_cell_length_c 17.139
_cell_angle_alpha 90.00
_cell_angle_beta 90.00
_cell_angle_gamma 111.48
_space_group_name_H-M_alt 'P 1'
_space_group_IT_number 1
loop_
_space_group_symop_operation_xyz
'x,y,z'
loop_
_atom_site_label
_atom_site_type_symbol
_atom_site_fract_x
_atom_site_fract_y
_atom_site_fract_z
Bi1 Bi 0.935 0.870 0.092
Bi2 Bi 0.065 0.130 0.592
Bi3 Bi 0.935 0.870 0.408
Bi4 Bi 0.065 0.130 0.908
Ti1 Ti 0.349 0.698 0.533
Ti2 Ti 0.218 0.437 0.158
Ti3 Ti 0.782 0.563 0.842
Ti4 Ti 0.349 0.698 0.967
Ti5 Ti 0.177 0.355 0.750
Ti6 Ti 0.782 0.563 0.658
Ti7 Ti 0.651 0.302 0.467
Ti8 Ti 0.218 0.437 0.342
Ti9 Ti 0.651 0.302 0.033
Ti10 Ti 0.823 0.645 0.250
Cd1 Cd 0.536 0.073 0.250
Cd2 Cd 0.464 0.927 0.750
```